No. 1
Material: MnTl5Cl8
Method: DFT, GGA-PBE
State: optimized geometry Values from VASP.

Cell and atoms, written as Quantum ESPRESSO input:
```
&SYSTEM
  ibrav = 0, nat = 14, ntyp = 3
/
ATOMIC_SPECIES
Tl 204.38 Tl.upf
Mn 54.94 Mn.upf
Cl 35.45 Cl.upf
CELL_PARAMETERS angstrom
8.1178 0.0000 -2.3296
-4.2688 6.6169 -3.0527
0.4198 0.0000 8.4350
ATOMIC_POSITIONS crystal
Tl 0.9949 0.3789 0.1546
Tl 0.7757 0.6211 0.6160
Tl 0.5000 0.0000 0.5000
Tl 0.8454 0.8402 0.2243
Tl 0.3840 0.1598 0.0051
Mn 0.2500 0.5000 0.7500
Cl 0.6685 0.3824 0.9020
Cl 0.5202 0.7811 0.8421
Cl 0.5196 0.6176 0.2860
Cl 0.1579 0.6781 0.9390
Cl 0.2609 0.3219 0.4798
Cl 0.0610 0.2189 0.7391
Cl 0.0980 0.7665 0.4804
Cl 0.7140 0.2335 0.3315
```

Computed properties:
space group = I-4
ΔE to the lowest computed polymorph = 0.0 meV per atom
formation energy from raw total energies = -0.98 eV/atom

No. 2
Material: MnTlCl3
Method: DFT, GGA-PBE
State: optimized geometry Values from VASP.

Cell and atoms, written as Quantum ESPRESSO input:
```
&SYSTEM
  ibrav = 0, nat = 10, ntyp = 3
/
ATOMIC_SPECIES
Cl 35.45 Cl.upf
Mn 54.94 Mn.upf
Tl 204.38 Tl.upf
CELL_PARAMETERS angstrom
-3.4208 1.0458 -1.3083
1.5861 -6.0304 -3.4305
-4.3349 -5.2161 7.1650
ATOMIC_POSITIONS crystal
Cl 0.1211 0.2427 0.4573
Cl 0.8789 0.7573 0.5427
Cl 0.1211 0.2427 0.0427
Cl 0.5525 0.1048 0.7500
Cl 0.8789 0.7573 0.9573
Cl 0.4475 0.8952 0.2500
Mn 0.5000 0.0000 0.5000
Mn 0.5000 0.0000 0.0000
Tl 0.7646 0.5290 0.2500
Tl 0.2354 0.4710 0.7500
```

Computed properties:
space group = Cmcm
ΔE to the lowest computed polymorph = 15.9 meV per atom
formation energy from raw total energies = -1.06 eV/atom